[1]
Computed, not measured: a relaxed structure of Mn2HgPb at the GGA-PBE level of DFT.

Summary:
The calculation puts the formation energy at 0.431 eV/atom. The symmetry is Cm (8).

a = 6.1326 Å, b = 6.1326 Å, c = 4.8085 Å
α = 62.79°, β = 62.79°, γ = 30.16°
Closest atoms and distances in Å follow each position.
Fractional coordinates of all 4 atoms:
1 Mn 0.2735 0.2735 0.2059  2 Mn 2.78, 4 Hg 2.88-2.96
2 Mn 0.9890 0.9890 0.0344  2 Mn 2.78, 4 Pb 2.89, 2 Hg 2.99
3 Pb 0.5059 0.5059 0.5142  7 Mn 2.89-3.21, 2 Pb 3.19
4 Hg 0.7315 0.7315 0.7455  6 Mn 2.88-2.99, 2 Hg 3.19

[2]
Computed, not measured: a relaxed structure of Mn2HgPb at the GGA-PBE level of DFT.

Summary:
The calculation puts the formation energy at 0.463 eV/atom. The symmetry is R-3m (166).

a = 9.1233 Å, b = 9.1233 Å, c = 9.1233 Å
α = 20.73°, β = 20.73°, γ = 20.73°
Closest atoms and distances in Å follow each position.
Fractional coordinates of all 4 atoms:
1 Mn 0.4963 0.4963 0.4963  3 Hg 2.85, 3 Pb 3.00
2 Mn 0.0037 0.0037 0.0037  3 Hg 2.85, 3 Pb 3.00
3 Hg 0.7500 0.7500 0.7500  6 Mn 2.85
4 Pb 0.2500 0.2500 0.2500  6 Mn 3.00, 6 Pb 3.28

[3]
Computed, not measured: a relaxed structure of MnHg2Pb at the GGA-PBE level of DFT.

Summary:
The calculation puts the formation energy at 0.377 eV/atom. The symmetry is F-43m (216).

a = 5.1315 Å, b = 5.1315 Å, c = 5.1315 Å
α = 60.00°, β = 60.00°, γ = 60.00°
Closest atoms and distances in Å follow each position.
Fractional coordinates of all 4 atoms:
1 Mn 0.5000 0.5000 0.5000  4 Hg 3.14, 4 Pb 3.14
2 Hg 0.0000 0.0000 0.0000  4 Pb 3.14, 4 Hg 3.14
3 Hg 0.2500 0.2500 0.2500  4 Hg 3.14, 4 Mn 3.14
4 Pb 0.7500 0.7500 0.7500  4 Hg 3.14, 4 Mn 3.14

[4]
Computed, not measured: a relaxed structure of MnHgPb2 at the GGA-PBE level of DFT.

Summary:
The calculation puts the formation energy at 0.331 eV/atom. The symmetry is P2/m (10).

a = 3.5595 Å, b = 5.9088 Å, c = 6.3325 Å
α = 50.76°, β = 90.00°, γ = 90.00°
Closest atoms and distances in Å follow each position.
Fractional coordinates of all 4 atoms:
1 Mn 0.0000 0.0000 0.5000  6 Pb 3.17-3.18, 4 Hg 3.45
2 Pb 0.0000 0.0000 0.0000  2 Mn 3.17, 4 Hg 3.18, 4 Pb 3.45
3 Pb 0.5000 0.5000 0.0000  2 Hg 3.17, 4 Mn 3.18, 4 Pb 3.45
4 Hg 0.5000 0.5000 0.5000  6 Pb 3.17-3.18, 4 Mn 3.45

[5]
Computed, not measured: a relaxed structure of MnHgPb2 at the GGA-PBE level of DFT.

Summary:
The calculation puts the formation energy at 0.326 eV/atom. The symmetry is P4/mmm (123).

a = 4.2962 Å, b = 4.8439 Å, c = 4.8439 Å
α = 90.00°, β = 90.00°, γ = 90.00°
Closest atoms and distances in Å follow each position.
Fractional coordinates of all 4 atoms:
1 Hg 0.5000 0.5000 0.0000  8 Pb 3.24, 4 Mn 3.43
2 Mn 0.5000 0.0000 0.5000  8 Pb 3.24, 4 Hg 3.43
3 Pb 0.0000 0.5000 0.5000  4 Hg 3.24, 4 Mn 3.24, 4 Pb 3.43
4 Pb 0.0000 0.0000 0.0000  4 Hg 3.24, 4 Mn 3.24, 4 Pb 3.43

[6]
Computed, not measured: a relaxed structure of MnHgPb3 at the GGA-PBE level of DFT.

Summary:
The calculation puts the formation energy at 0.257 eV/atom. The symmetry is Pm-3m (221). As for the energy above the most stable polymorph in this dataset: 0 meV per atom.

a = 5.2576 Å, b = 5.2576 Å, c = 5.2576 Å
α = 90.00°, β = 90.00°, γ = 90.00°
Closest atoms and distances in Å follow each position.
Fractional coordinates of all 5 atoms:
1 Pb 0.5000 0.0000 0.0000  2 Mn 2.63
2 Pb 0.0000 0.0000 0.5000  2 Mn 2.63
3 Pb 0.0000 0.5000 0.0000  2 Mn 2.63
4 Hg 0.5000 0.5000 0.5000  12 Pb 3.72
5 Mn 0.0000 0.0000 0.0000  6 Pb 2.63

[7]
Computed, not measured: a relaxed structure of MnHg2Pb at the GGA-PBE level of DFT.

Summary:
The calculation puts the formation energy at 0.241 eV/atom. The symmetry is Cm (8).

a = 7.1470 Å, b = 7.1470 Å, c = 4.6389 Å
α = 71.37°, β = 71.37°, γ = 26.22°
Closest atoms and distances in Å follow each position.
Fractional coordinates of all 4 atoms:
1 Hg 0.8165 0.8165 0.6858  2 Mn 2.83
2 Hg 0.0042 0.0042 0.9946  4 Mn 2.83
3 Pb 0.1863 0.1863 0.3141  2 Mn 3.02, 2 Pb 3.24, 6 Hg 3.31-3.34
4 Mn 0.4929 0.4929 0.5055  6 Hg 2.83, 2 Pb 3.02

[8]
Computed, not measured: a relaxed structure of Mn3HgPb2S8 at the GGA-PBE level of DFT.

Summary:
The symmetry is R3m (160). The formation energy without anion corrections comes out at -381 meV/atom.

a = 7.3970 Å, b = 7.3970 Å, c = 7.9439 Å
α = 62.25°, β = 62.25°, γ = 60.00°
Closest atoms and distances in Å follow each position.
Fractional coordinates of all 14 atoms:
1 S 0.2441 0.6955 0.8162  2 Mn 2.39, 1 Pb 2.67
2 S 0.2707 0.2707 0.1879  3 Mn 2.45
3 S 0.6955 0.2441 0.8162  2 Mn 2.39, 1 Pb 2.67
4 S 0.7361 0.7361 0.7918  3 Mn 2.58, 1 Hg 2.61
5 S 0.2441 0.2441 0.8162  2 Mn 2.39, 1 Pb 2.67
6 S 0.2924 0.7595 0.1886  2 Mn 2.41, 1 Hg 2.69
7 S 0.7595 0.7595 0.1886  2 Mn 2.41, 1 Hg 2.69
8 S 0.7595 0.2924 0.1886  2 Mn 2.41, 1 Hg 2.69
9 Pb 0.1253 0.1253 0.6242  4 S 2.67-2.92
10 Pb 0.5040 0.5040 0.4879  6 S 2.83-2.92
11 Mn 0.0004 0.4976 0.0044  6 S 2.39-2.58
12 Mn 0.4976 0.0004 0.0044  6 S 2.39-2.58
13 Mn 0.4976 0.4976 0.0044  6 S 2.39-2.58
14 Hg 0.8658 0.8658 0.4025  4 S 2.61-2.69

| no. | total moment (μB per cell) |
| --- | --- |
| 1 | 7.421 |
| 2 | 7.824 |
| 3 | 4.283 |
| 4 | 4.383 |
| 5 | 4.169 |
| 6 | 2.172 |
| 7 | 3.641 |
| 8 | 10.927 |